Ho3Cd3AgAu2 (PBE, optimized geometry); volume = 204.5 Å³/f.u.; ΔH_f (0 K) = -579 meV per atom; mass density = 10.830 g/cm3; space-group type = P-62m, No. 189; crystal system = hexagonal; DFT total energy = -3.4430 eV per atom
1.0
7.8083 0.0000 0.0000
-3.9041 6.7621 0.0000
0.0000 0.0000 3.8734
Au Ho Ag Cd
2 3 1 3
direct
0.6667 0.3333 0.5000
0.3333 0.6667 0.5000
0.5906 0.5906 0.0000
0.4094 0.0000 0.0000
0.0000 0.4094 0.0000
0.0000 0.0000 0.0000
0.7398 0.0000 0.5000
0.2602 0.2602 0.5000
0.0000 0.7398 0.5000